Below is a geometry-optimized AlZnHgAu structure, with properties calculated at the PBE level.

```
AlZnHgAu
1.0
0.000 3.318 3.318
3.318 0.000 3.318
3.318 3.318 0.000
Al Zn Hg Au
1 1 1 1
direct
0.000 0.000 0.000
0.500 0.500 0.500
0.250 0.250 0.250
0.750 0.750 0.750
```

Properties
- energy above the lowest structure with this stoichiometry (eV/atom) = 0.000

Below is a geometry-optimized SmHfSi structure, with properties calculated at the PBE level.

```
SmHfSi
1.0
0.000 3.313 3.313
3.313 0.000 3.313
3.313 3.313 0.000
Sm Hf Si
1 1 1
direct
0.000 0.000 0.000
0.500 0.500 0.500
0.750 0.750 0.750
```

Properties
- calculated total energy (Ry/atom) = -0.5084